The following is a PBE calculation of Ir2RuW after structural relaxation, from Alexandria via LeMat-Bulk.

Values from the calculation:
total magnetization: 0.00 μB per formula unit
final energy: -10.090 eV/atom

Cell lengths 2.7482, 2.7482, 7.8054 Å; angles 90.00, 90.00, 90.00 degrees
Last column: nearest neighbours and their distance in Å.
Atoms (fractional coordinates):
Ir  0.0000  0.0000  0.2473  4 Ru 2.74, 4 Ir 2.75, 4 W 2.77
Ir  0.0000  0.0000  0.7527  4 Ru 2.74, 4 Ir 2.75, 4 W 2.77
Ru  0.5000  0.5000  0.0000  8 Ir 2.74, 4 Ru 2.75
W  0.5000  0.5000  0.5000  4 W 2.75, 8 Ir 2.77